1.
A plane-wave DFT calculation with GGA-PBEsol was carried out for crystalline LiTlP2 at its relaxed geometry.

formation energy from the elements = 0.297 eV/atom
DFT total energy = -15.0 eV per formula unit
energy above the lowest structure with this stoichiometry = 0.467 eV/atom

POSCAR file:
```
LiTlP2
1.0
-0.6894 -0.1140 -4.6156
0.0452 -4.0807 -2.2666
-3.9665 -1.7560 -1.7249
Li P Tl
1 2 1
Direct
0.5000 0.5000 0.5000
0.0000 0.0000 0.0000
0.7500 0.7500 0.7500
0.2500 0.2500 0.2500
```

***

2.
A plane-wave DFT calculation with GGA-PBEsol was carried out for crystalline LiTl2P at its relaxed geometry.

formation energy from the elements = 0.009 eV/atom
DFT total energy = -13.0 eV per formula unit
energy above the lowest structure with this stoichiometry = 0.158 eV/atom

POSCAR file:
```
LiTl2P
1.0
-3.6019 0.4270 1.5678
-2.0370 -2.2735 -4.0607
3.2264 -3.0379 3.2600
Tl P Li
2 1 1
Direct
0.2462 0.7462 0.4925
0.0321 0.0321 0.0642
0.7699 0.2699 0.5399
0.4517 0.4517 0.9035
```

***

3.
A plane-wave DFT calculation with GGA-PBEsol was carried out for crystalline LiTlP2 at its relaxed geometry.

formation energy from the elements = -0.171 eV/atom
DFT total energy = -16.9 eV per formula unit
energy above the lowest structure with this stoichiometry = 0.000 eV/atom

POSCAR file:
```
LiTlP2
1.0
-0.6197 -0.9703 -3.0524
2.1952 -3.4204 2.3849
-5.3649 -1.1680 1.4604
Tl P Li
1 2 1
Direct
0.0000 0.0000 0.5000
0.7589 0.5178 0.8686
0.2411 0.4822 0.1314
0.5000 0.0000 0.0000
```

***

4.
A plane-wave DFT calculation with GGA-PBEsol was carried out for crystalline LiTlP2 at its relaxed geometry.

formation energy from the elements = 0.420 eV/atom
DFT total energy = -14.5 eV per formula unit
energy above the lowest structure with this stoichiometry = 0.591 eV/atom

POSCAR file:
```
LiTlP2
1.0
-0.8773 1.4028 -5.9504
1.2405 -6.2032 1.5599
-4.6361 -4.0712 -0.2763
P Tl Li
4 2 2
Direct
0.3750 0.2500 0.1434
0.1434 0.7500 0.8750
0.8750 0.2500 0.6066
0.6066 0.7500 0.3750
0.0000 0.0000 0.0000
0.7500 0.5000 0.7500
0.5000 0.0000 0.5000
0.2500 0.5000 0.2500
```

***

5.
A plane-wave DFT calculation with GGA-PBEsol was carried out for crystalline LiTlP2 at its relaxed geometry.

formation energy from the elements = 0.135 eV/atom
DFT total energy = -15.6 eV per formula unit
energy above the lowest structure with this stoichiometry = 0.306 eV/atom

POSCAR file:
```
LiTlP2
1.0
-0.6419 -0.6823 2.6298
1.1462 -2.5180 -0.3736
8.1529 3.2892 2.8434
Tl Li P
1 1 2
Direct
0.5000 0.5000 0.0000
0.5000 0.5000 0.5000
0.0000 0.0000 0.7002
0.0000 0.0000 0.2998
```

***

6.
A plane-wave DFT calculation with GGA-PBEsol was carried out for crystalline Li6P4W at its relaxed geometry.

formation energy from the elements = -0.527 eV/atom
DFT total energy = -54.6 eV per formula unit

POSCAR file:
```
Li6P4W
1.0
-1.9063 -2.8451 4.9626
0.5662 -6.9730 -3.7802
7.5228 -0.7292 2.4718
Li P W
12 8 2
Direct
0.5000 0.2750 0.7250
0.5000 0.2750 0.2750
0.0613 0.5000 0.0000
0.0000 0.2250 0.7750
0.0000 0.2250 0.2250
0.5000 0.7250 0.7250
0.4387 0.0000 0.5000
0.9387 0.0000 0.5000
0.0000 0.7750 0.7750
0.5613 0.5000 0.0000
0.5000 0.7250 0.2750
0.0000 0.7750 0.2250
0.2954 0.2427 0.0000
0.2046 0.2573 0.5000
0.7954 0.5000 0.2573
0.2046 0.7427 0.5000
0.7954 0.5000 0.7427
0.7046 0.0000 0.2427
0.2954 0.7573 0.0000
0.7046 0.0000 0.7573
0.5000 0.0000 0.0000
0.0000 0.5000 0.5000
```

***

7.
A plane-wave DFT calculation with GGA-PBEsol was carried out for crystalline LiPW4 at its relaxed geometry.

formation energy from the elements = 0.946 eV/atom
DFT total energy = -57.3 eV per formula unit

POSCAR file:
```
LiPW4
1.0
5.2196 0.0000 0.0000
2.6098 4.5203 0.0000
2.6098 1.5068 4.2618
W Li P
4 1 1
Direct
0.1300 0.6233 0.6233
0.6233 0.6233 0.1300
0.6233 0.6233 0.6233
0.6233 0.1300 0.6233
0.2500 0.2500 0.2500
0.0000 0.0000 0.0000
```

***

8.
A plane-wave DFT calculation with GGA-PBEsol was carried out for crystalline LiYP at its relaxed geometry.

formation energy from the elements = -1.038 eV/atom
DFT total energy = -17.7 eV per formula unit

POSCAR file:
```
LiYP
1.0
-3.9008 0.3967 -0.4462
-0.7813 -0.0261 6.8070
0.9807 5.9167 -3.3131
P Li Y
3 3 3
Direct
0.5000 0.3333 0.6667
0.0000 0.0000 0.0000
0.5000 0.6667 0.3333
0.5000 0.2367 0.0000
0.5000 0.0000 0.2367
0.5000 0.7633 0.7633
0.0000 0.5926 0.0000
0.0000 0.0000 0.5926
0.0000 0.4074 0.4074
```

***

9.
A plane-wave DFT calculation with GGA-PBEsol was carried out for crystalline LiY2P at its relaxed geometry.

formation energy from the elements = -0.612 eV/atom
DFT total energy = -23.9 eV per formula unit

POSCAR file:
```
LiY2P
1.0
3.6082 0.0000 0.0391
0.0000 3.6180 0.0000
-0.2877 0.0000 6.5467
P Y Li
1 2 1
Direct
0.5000 0.5000 0.5000
0.9765 0.0000 0.7292
0.0235 0.0000 0.2708
0.5000 0.5000 0.0000
```

***

10.
A plane-wave DFT calculation with GGA-PBEsol was carried out for crystalline LiY2P at its relaxed geometry.

formation energy from the elements = -0.761 eV/atom
DFT total energy = -24.4 eV per formula unit

POSCAR file:
```
LiY2P
1.0
-2.5913 -2.5326 -1.5895
2.1640 -0.1067 -3.3578
4.1107 -2.8345 2.7393
Y P Li
2 1 1
Direct
0.3992 0.5000 0.7985
0.1099 0.0000 0.2199
0.6805 0.5000 0.3610
0.8131 0.0000 0.6261
```

***

11.
A plane-wave DFT calculation with GGA-PBEsol was carried out for crystalline LiY3P at its relaxed geometry.

formation energy from the elements = -0.380 eV/atom
DFT total energy = -30.1 eV per formula unit

POSCAR file:
```
LiY3P
1.0
5.2972 0.0000 0.0000
0.0000 5.2972 0.0000
0.0000 0.0000 5.2972
P Li Y
1 1 3
Direct
0.0000 0.0000 0.0000
0.5000 0.5000 0.5000
0.0000 0.0000 0.5000
0.5000 0.0000 0.0000
0.0000 0.5000 0.0000
```

***

12.
A plane-wave DFT calculation with GGA-PBEsol was carried out for crystalline LiY2P at its relaxed geometry.

formation energy from the elements = 0.068 eV/atom
DFT total energy = -21.1 eV per formula unit

POSCAR file:
```
LiY2P
1.0
4.8863 0.0000 0.0000
2.4432 4.2317 0.0000
2.4432 1.4106 3.9897
P Y Li
1 2 1
Direct
0.2500 0.2500 0.2500
0.0000 0.0000 0.0000
0.7500 0.7500 0.7500
0.5000 0.5000 0.5000
```

***

13.
A plane-wave DFT calculation with GGA-PBEsol was carried out for crystalline Li2YP at its relaxed geometry.

formation energy from the elements = -0.773 eV/atom
DFT total energy = -19.6 eV per formula unit

POSCAR file:
```
Li2YP
1.0
3.9009 0.0000 0.0000
0.0000 6.9843 0.0000
0.0000 0.0000 10.5859
Li Y P
8 4 4
Direct
0.2500 0.5844 0.9030
0.7500 0.8665 0.9666
0.7500 0.3665 0.5334
0.2500 0.1335 0.0334
0.2500 0.6335 0.4666
0.7500 0.4156 0.0970
0.2500 0.0844 0.5970
0.7500 0.9156 0.4030
0.7500 0.2475 0.8061
0.2500 0.7525 0.1939
0.7500 0.7475 0.6939
0.2500 0.2525 0.3061
0.2500 0.9509 0.8295
0.7500 0.0491 0.1705
0.7500 0.5491 0.3295
0.2500 0.4509 0.6705
```

***

14.
A plane-wave DFT calculation with GGA-PBEsol was carried out for crystalline LiYP at its relaxed geometry.

formation energy from the elements = -1.055 eV/atom
DFT total energy = -17.7 eV per formula unit

POSCAR file:
```
LiYP
1.0
-3.3746 -5.9099 2.0659
6.2067 -1.7955 5.0022
-6.2514 4.5146 2.7032
P Y Li
8 8 8
Direct
0.2621 0.3333 0.1667
0.7654 0.6667 0.3333
0.2654 0.3333 0.6667
0.7621 0.1667 0.3333
0.2621 0.8333 0.1667
0.7621 0.6667 0.8333
0.7621 0.1667 0.8333
0.2621 0.8333 0.6667
0.0123 0.4971 0.9943
0.5123 0.5029 0.0057
0.0123 0.4971 0.5029
0.0147 0.0000 0.0000
0.5123 0.5029 0.4971
0.5123 0.9943 0.4971
0.0123 0.0057 0.5029
0.5147 0.0000 0.0000
0.2500 0.6667 0.3333
0.2672 0.1667 0.8333
0.2672 0.6666 0.8333
0.7672 0.8333 0.6666
0.7500 0.3333 0.6667
0.2672 0.1667 0.3334
0.7672 0.3334 0.1667
0.7672 0.8333 0.1667
```

***

15.
A plane-wave DFT calculation with GGA-PBEsol was carried out for crystalline LiYP at its relaxed geometry.

formation energy from the elements = -1.036 eV/atom
DFT total energy = -17.7 eV per formula unit

POSCAR file:
```
LiYP
1.0
3.8125 0.0000 0.0000
0.0000 3.9922 0.0000
0.0000 -1.9961 3.4573
Y P Li
1 1 1
Direct
0.5000 0.6667 0.3333
0.0000 0.3333 0.6667
0.0000 0.0000 0.0000
```

***

16.
A plane-wave DFT calculation with GGA-PBEsol was carried out for crystalline Li2ZrP at its relaxed geometry.

formation energy from the elements = -0.055 eV/atom
DFT total energy = -19.0 eV per formula unit

POSCAR file:
```
Li2ZrP
1.0
-0.0744 -0.7796 2.6202
2.7336 0.0043 0.0790
-0.0869 8.5394 2.5383
Li P Zr
2 1 1
Direct
0.0000 0.0000 0.1980
0.0000 0.0000 0.8020
0.5000 0.5000 0.0000
0.5000 0.5000 0.5000
```

***

17.
A plane-wave DFT calculation with GGA-PBEsol was carried out for crystalline Li2ZrP at its relaxed geometry.

formation energy from the elements = -0.039 eV/atom
DFT total energy = -19.0 eV per formula unit

POSCAR file:
```
Li2ZrP
1.0
-0.6194 -1.9904 -1.9574
2.1071 -1.3344 -1.3986
0.7284 -7.8575 5.6709
P Li Zr
1 2 1
Direct
0.5000 0.5000 0.5000
0.7657 0.7657 0.7030
0.2343 0.2343 0.2970
0.0000 0.0000 0.0000
```

***

18.
A plane-wave DFT calculation with GGA-PBEsol was carried out for crystalline LiPaRu2 at its relaxed geometry.

formation energy from the elements = -0.267 eV/atom
DFT total energy = -33.6 eV per formula unit

POSCAR file:
```
LiPaRu2
1.0
-2.5175 -2.2801 -2.8944
0.3239 -4.4453 -0.2201
-3.3436 -2.5569 1.4822
Ru Pa Li
2 1 1
Direct
0.2500 0.2500 0.2500
0.7500 0.7500 0.7500
0.0000 0.0000 0.0000
0.5000 0.5000 0.5000
```

***

19.
A plane-wave DFT calculation with GGA-PBEsol was carried out for crystalline Li3Pb at its relaxed geometry.

formation energy from the elements = -0.277 eV/atom
DFT total energy = -11.0 eV per formula unit
energy above the lowest structure with this stoichiometry = 0.069 eV/atom

POSCAR file:
```
Li3Pb
1.0
4.8125 0.0000 0.0000
0.0000 5.6302 -0.0210
0.0000 -0.4939 5.6085
Pb Li
2 6
Direct
0.2500 0.2828 0.7172
0.7500 0.7172 0.2828
0.7500 0.2150 0.4229
0.7500 0.0940 0.9060
0.2500 0.4229 0.2150
0.2500 0.7850 0.5771
0.2500 0.9060 0.0940
0.7500 0.5771 0.7850
```

***

20.
A plane-wave DFT calculation with GGA-PBEsol was carried out for crystalline Li3Pb at its relaxed geometry.

formation energy from the elements = -0.217 eV/atom
DFT total energy = -10.8 eV per formula unit
energy above the lowest structure with this stoichiometry = 0.129 eV/atom

POSCAR file:
```
Li3Pb
1.0
3.0802 0.0000 0.0000
0.0000 4.4587 0.0000
0.0000 0.0000 5.8969
Li Pb
3 1
Direct
0.5000 0.5000 0.7643
0.0000 0.0000 0.5000
0.5000 0.5000 0.2357
0.0000 0.0000 0.0000
```